Compound: ReSiWO2
Source: Alexandria via LeMat-Bulk
Functional: PBE+U
Structure: relaxed

Output
SG: No. 123
Raw total energy: -7.22 eV per atom

Unit cell a=3.7652 b=3.7652 c=5.6309 alpha=90.00 beta=90.00 gamma=90.00
Last column: nearest neighbours and their distance in Å.
Atoms (fractional coordinates):
Re 0.0000 0.0000 0.0000  4 O 1.88
Si 0.0000 0.0000 0.5000  4 W 2.66, 2 Re 2.82
W 0.5000 0.5000 0.5000  4 Si 2.66
O 0.0000 0.5000 0.0000  2 Re 1.88
O 0.5000 0.0000 0.0000  2 Re 1.88